{"formula": "Na2Tl2Ni", "functional": "PBE-GGA", "state": "relaxed", "lattice": [[6.986, 0.000, 0.000], [0.000, 6.986, 0.000], [0.000, 0.000, 5.353]], "species": ["Na", "Na", "Na", "Na", "Tl", "Tl", "Tl", "Tl", "Ni", "Ni"], "frac_coords": [[0.172, 0.328, 0.000], [0.328, 0.828, 0.000], [0.672, 0.172, 0.000], [0.828, 0.672, 0.000], [0.164, 0.664, 0.500], [0.336, 0.164, 0.500], [0.664, 0.836, 0.500], [0.836, 0.336, 0.500], [0.000, 0.000, 0.500], [0.500, 0.500, 0.500]], "magmom_total_mub_per_atom": 0.000, "total_energy_ry_per_atom": -0.1861, "space_group": "P4/mbm", "dos_at_fermi_per_ev_cell": 5.165}